Entry from the Alexandria database: a geometry-optimized KVSi structure (GGA-PBE).

Computed properties:
- DOS(E_F) (states/eV/cell) = 4.2
- polymorph energy (0 for the lowest one) (kJ/mol of formula units) = 75
- final energy (eV per atom) = -4.94
- uncorrected formation energy (eV per atom) = 0.278

Cell lengths 6.670, 4.903, 4.903 Å; angles 90.00, 111.19, 90.00 degrees
Each line ends with the local moment (μB).
Positions (direct):
K1 0.000 0.794 0.000  0.02
K2 0.000 0.294 0.500  0.02
Si1 0.500 0.048 0.500  -0.10
Si2 0.500 0.548 0.000  -0.10
V1 0.500 0.548 0.500  1.59
V2 0.500 0.048 0.000  1.59



Entry from the Alexandria database: a geometry-optimized Na3SeN structure (GGA-PBE).

Computed properties:
- DOS(E_F) (states/eV/cell) = 4.3
- polymorph energy (0 for the lowest one) (kJ/mol of formula units) = 0
- final energy (eV per atom) = -3.19
- uncorrected formation energy (eV per atom) = -0.033

Cell lengths 4.704, 4.704, 4.704 Å; angles 90.00, 90.00, 90.00 degrees
Each line ends with the local moment (μB).
Positions (direct):
Na1 0.000 0.500 0.000  0.00
Na2 0.000 0.000 0.500  0.01
Na3 0.500 0.000 0.000  -0.01
Se1 0.500 0.500 0.500  0.28
N1 0.000 0.000 0.000  1.01



Entry from the Alexandria database: a geometry-optimized HoGa2Ir2 structure (GGA-PBE).

Computed properties:
- energy relative to the elements (meV per atom) = -673
- DOS(E_F) (states/eV/cell) = 3.8
- final energy (eV per atom) = -6.34

Cell lengths 4.205, 4.205, 10.826 Å; angles 101.20, 101.20, 90.00 degrees
Positions (direct):
Ho1 0.609 0.609 0.218
Ho2 0.391 0.391 0.782
Ga1 0.750 0.250 0.500
Ga2 0.932 0.932 0.864
Ga3 0.068 0.068 0.136
Ga4 0.250 0.750 0.500
Ir1 0.000 0.500 0.000
Ir2 0.184 0.184 0.368
Ir3 0.500 0.000 0.000
Ir4 0.816 0.816 0.632



Entry from the Alexandria database: a geometry-optimized Li2ZrNbTc structure (GGA-PBE).

Computed properties:
- energy relative to the elements (meV per atom) = 1433
- DOS(E_F) (states/eV/cell) = 6.5
- polymorph energy (0 for the lowest one) (kJ/mol of formula units) = 0
- final energy (eV per atom) = -5.13

Cell lengths 4.483, 4.673, 4.483 Å; angles 90.00, 90.00, 90.00 degrees
Positions (direct):
Nb1 0.500 0.500 0.500
Tc1 0.000 0.500 0.000
Zr1 0.000 0.000 0.000
Li1 0.000 0.000 0.500
Li2 0.500 0.000 0.000



Entry from the Alexandria database: a geometry-optimized Sr2TiGaTe structure (GGA-PBE).

Computed properties:
- DOS(E_F) (states/eV/cell) = 4.5
- final energy (eV per atom) = -3.67
- uncorrected formation energy (eV per atom) = -0.180

Cell lengths 5.971, 4.955, 5.971 Å; angles 90.00, 90.00, 90.00 degrees
Each line ends with the local moment (μB).
Positions (direct):
Sr1 0.000 0.000 0.500  0.00
Sr2 0.500 0.000 0.000  -0.01
Te1 0.500 0.500 0.500  -0.03
Ga1 0.000 0.000 0.000  -0.04
Ti1 0.000 0.500 0.000  1.26



Entry from the Alexandria database: a geometry-optimized Na3TaGa structure (GGA-PBE).

Computed properties:
- energy relative to the elements (meV per atom) = 1548
- DOS(E_F) (states/eV/cell) = 5.5
- polymorph energy (0 for the lowest one) (kJ/mol of formula units) = 94
- final energy (eV per atom) = -2.22

Cell lengths 5.912, 5.912, 5.912 Å; angles 90.00, 90.00, 90.00 degrees
Each line ends with the local moment (μB).
Positions (direct):
Na1 0.000 0.500 0.000  0.04
Na2 0.000 0.000 0.500  0.03
Na3 0.500 0.000 0.000  0.06
Ga1 0.500 0.500 0.500  0.00
Ta1 0.000 0.000 0.000  2.51